The following is a DFT calculation (PBE-GGA) of a geometry-optimized VGaTc2 structure.

Values from the calculation:
The formation energy from the elements is -23 kJ/mol of atoms. The raw total energy comes out at -8.458 eV per atom. The relative energy among the computed polymorphs is 0.0 kJ per mole of atoms. The total magnetization is 0.000 μB/atom.

Structure (POSCAR):
```
VGaTc2
1.0
1.511 -4.002 0.470
1.650 -1.247 3.773
-2.126 -2.829 2.449
Tc Ga V
2 1 1
Direct
0.750 0.750 0.750
0.250 0.250 0.250
0.500 0.500 0.500
0.000 0.000 0.000
```